Entry w
Computed, not measured: a relaxed structure of Zr2GaH2 at the GGA-PBE level of DFT.

abc: 4.2674 4.2674 4.9403
angles: 64.41 64.41 90.00
Sites, in units of the cell vectors:
Zr 0.7500 0.2500 0.5000
Zr 0.2500 0.7500 0.5000
H 0.3225 0.3225 0.3550
H 0.6775 0.6775 0.6450
Ga 0.0000 0.0000 0.0000

***

Entry x
Computed, not measured: a relaxed structure of Zr2GaH2 at the GGA-PBE level of DFT.

abc: 5.3595 5.3595 5.8222
angles: 103.87 103.87 116.44
Sites, in units of the cell vectors:
Zr 0.2059 0.7941 0.7500
Zr 0.5754 0.4246 0.7500
H 0.5190 0.7491 0.9837
H 0.4810 0.2509 0.0163
H 0.7491 0.5190 0.4837
Zr 0.7941 0.2059 0.2500
Zr 0.4246 0.5754 0.2500
Ga 0.8858 0.1142 0.7500
H 0.2509 0.4810 0.5163
Ga 0.1142 0.8858 0.2500

***

Which of them is the least stable? Correct choice: entry w.

***

Entry w
Computed, not measured: a relaxed structure of Zr4Ga2H at the GGA-PBE level of DFT.

abc: 4.0549 4.0549 8.2951
angles: 75.85 75.85 90.00
Sites, in units of the cell vectors:
H 0.0000 0.0000 0.0000
Zr 0.8185 0.8185 0.3630
Ga 0.6372 0.6372 0.7257
Zr 0.0000 0.5000 0.0000
Ga 0.3628 0.3628 0.2743
Zr 0.1815 0.1815 0.6370
Zr 0.5000 0.0000 0.0000

***

Entry x
Computed, not measured: a relaxed structure of Zr4Ga2H at the GGA-PBE level of DFT.

abc: 5.2848 5.9327 8.9794
angles: 90.00 116.25 90.00
Sites, in units of the cell vectors:
Zr 0.8544 0.2500 0.6418
H 0.7020 0.2500 0.8138
Zr 0.1456 0.7500 0.3582
Zr 0.4156 0.5111 0.7233
Zr 0.5844 0.4889 0.2767
Ga 0.8154 0.7500 0.5859
Zr 0.5844 0.0111 0.2767
Ga 0.1846 0.2500 0.4141
Ga 0.6923 0.7500 0.0388
H 0.2980 0.7500 0.1862
Ga 0.3077 0.2500 0.9612
Zr 0.4156 0.9889 0.7233
Zr 0.9051 0.2500 0.0712
Zr 0.0949 0.7500 0.9288

***

Which of them is the least stable? Correct choice: entry w.

***

Entry w
Computed, not measured: a relaxed structure of Zr3GaH3 at the GGA-PBE level of DFT.

abc: 5.9210 5.9210 7.3287
angles: 66.17 66.17 60.00
Sites, in units of the cell vectors:
Ga 0.6663 0.6663 0.0012
Zr 0.9079 0.2261 0.2806
H 0.4754 0.7872 0.6020
Zr 0.5853 0.9079 0.2806
H 0.7872 0.1354 0.6020
Zr 0.7739 0.4147 0.7194
Ga 0.3337 0.3337 0.9988
Zr 0.4147 0.0921 0.7194
Zr 0.0921 0.7739 0.7194
H 0.2128 0.8646 0.3980
H 0.1354 0.4754 0.6020
Zr 0.2261 0.5853 0.2806
H 0.8646 0.5246 0.3980
H 0.5246 0.2128 0.3980

***

Entry x
Computed, not measured: a relaxed structure of Zr3GaH3 at the GGA-PBE level of DFT.

abc: 5.7292 5.7292 5.7292
angles: 90.00 90.00 90.00
Sites, in units of the cell vectors:
Zr 0.2500 0.5000 0.0000
H 0.5000 0.7500 0.0000
Ga 0.0000 0.0000 0.0000
Zr 0.0000 0.2500 0.5000
H 0.0000 0.5000 0.2500
H 0.5000 0.2500 0.0000
Ga 0.5000 0.5000 0.5000
Zr 0.0000 0.7500 0.5000
H 0.2500 0.0000 0.5000
H 0.0000 0.5000 0.7500
Zr 0.5000 0.0000 0.7500
Zr 0.5000 0.0000 0.2500
Zr 0.7500 0.5000 0.0000
H 0.7500 0.0000 0.5000

***

Which of them is the least stable? Correct choice: entry w.

***

Entry w
Computed, not measured: a relaxed structure of ZrGaH2 at the GGA-PBE level of DFT.

abc: 4.0610 4.0610 6.6399
angles: 72.19 72.19 90.00
Sites, in units of the cell vectors:
H 0.3750 0.3039 0.7500
Ga 0.5000 0.5000 0.0000
Ga 0.2500 0.7500 0.5000
H 0.6961 0.1250 0.2500
H 0.0539 0.6250 0.2500
Zr 0.7500 0.2500 0.5000
H 0.8750 0.9461 0.7500
Zr 0.0000 0.0000 0.0000

***

Entry x
Computed, not measured: a relaxed structure of ZrGaH2 at the GGA-PBE level of DFT.

abc: 3.9304 3.9304 3.9304
angles: 60.00 60.00 60.00
Sites, in units of the cell vectors:
H 0.2500 0.2500 0.2500
H 0.7500 0.7500 0.7500
Ga 0.0000 0.0000 0.0000
Zr 0.5000 0.5000 0.5000

***

Which of them is the least stable? Correct choice: entry x.

***

Entry w
Computed, not measured: a relaxed structure of Hf4Ga at the GGA-PBE level of DFT.

abc: 4.9715 4.9715 4.9715
angles: 90.00 90.00 90.00
Last column: magnetic moment on the atom in μB.
Sites, in units of the cell vectors:
Hf 0.5000 0.0000 0.5000  0.18
Hf 0.0000 0.5000 0.5000  0.18
Hf 0.5000 0.5000 0.0000  0.18
Hf 0.0000 0.0000 0.0000  0.39
Ga 0.5000 0.5000 0.5000  0.05

***

Entry x
Computed, not measured: a relaxed structure of Hf4Ga at the GGA-PBE level of DFT.

abc: 6.7294 6.7294 6.7294
angles: 103.70 103.70 121.75
Sites, in units of the cell vectors:
Hf 0.6641 0.8559 0.8082
Hf 0.1441 0.3359 0.1918
Ga 0.5000 0.5000 0.0000
Hf 0.6059 0.9141 0.3082
Hf 0.6059 0.2977 0.6918
Hf 0.0477 0.8559 0.1918
Hf 0.1441 0.9523 0.8082
Hf 0.7023 0.3941 0.3082
Ga 0.2500 0.7500 0.5000
Hf 0.0859 0.3941 0.6918

***

Which of them is the least stable? Correct choice: entry w.

***

Entry w
Computed, not measured: a relaxed structure of Hf5Ga6 at the GGA-PBE level of DFT.

abc: 3.8134 3.8686 13.9534
angles: 97.97 90.00 90.00
Sites, in units of the cell vectors:
Hf 0.5000 0.8041 0.6081
Ga 0.5000 0.5425 0.0849
Ga 0.5000 0.4575 0.9151
Ga 0.0000 0.2795 0.5590
Ga 0.5000 0.0962 0.1923
Hf 0.0000 0.6203 0.2407
Hf 0.0000 0.0000 0.0000
Ga 0.0000 0.7205 0.4410
Ga 0.5000 0.9038 0.8077
Hf 0.5000 0.1959 0.3919
Hf 0.0000 0.3797 0.7593

***

Entry x
Computed, not measured: a relaxed structure of Hf5Ga6 at the GGA-PBE level of DFT.

abc: 5.5490 6.6051 7.0284
angles: 79.60 64.54 65.16
Sites, in units of the cell vectors:
Hf 0.3514 0.2973 0.0000
Ga 0.1433 0.0000 0.2958
Ga 0.2858 0.7189 0.8058
Hf 0.2130 0.5741 0.5000
Ga 0.0047 0.2811 0.8058
Ga 0.9953 0.7189 0.1942
Hf 0.7870 0.4259 0.5000
Hf 0.5000 0.0000 0.5000
Hf 0.6486 0.7027 0.0000
Ga 0.7142 0.2811 0.1942
Ga 0.8567 0.0000 0.7042

***

Which of them is the least stable? Correct choice: entry x.

***

Entry w
Computed, not measured: a relaxed structure of HfGa4 at the GGA-PBE level of DFT.

abc: 4.6825 5.4665 4.6825
angles: 115.36 90.00 115.36
Sites, in units of the cell vectors:
Ga 0.7500 0.5000 0.2500
Ga 0.2500 0.5000 0.7500
Ga 0.3629 0.7258 0.3629
Ga 0.6371 0.2742 0.6371
Hf 0.0000 0.0000 0.0000

***

Entry x
Computed, not measured: a relaxed structure of HfGa4 at the GGA-PBE level of DFT.

abc: 5.2535 5.2535 5.2535
angles: 90.00 90.00 90.00
Sites, in units of the cell vectors:
Ga 0.0000 0.0000 0.0000
Hf 0.5000 0.5000 0.5000
Ga 0.5000 0.5000 0.0000
Ga 0.0000 0.5000 0.5000
Ga 0.5000 0.0000 0.5000

***

Which of them is the least stable? Correct choice: entry x.

***

Entry w
Computed, not measured: a relaxed structure of Hf3GaHg at the GGA-PBE level of DFT.

abc: 4.9438 4.9438 4.9438
angles: 90.00 90.00 90.00
Sites, in units of the cell vectors:
Hg 0.5000 0.5000 0.5000
Hf 0.0000 0.5000 0.0000
Ga 0.0000 0.0000 0.0000
Hf 0.0000 0.0000 0.5000
Hf 0.5000 0.0000 0.0000

***

Entry x
Computed, not measured: a relaxed structure of Hf3GaHg at the GGA-PBE level of DFT.

abc: 6.3827 6.3827 11.9033
angles: 81.44 81.44 67.35
Sites, in units of the cell vectors:
Ga 0.2884 0.7116 0.7500
Hg 0.4848 0.2989 0.6692
Ga 0.0000 0.5000 0.5000
Hf 0.1831 0.0869 0.1807
Hf 0.1727 0.3679 0.9061
Hf 0.7850 0.1952 0.0297
Ga 0.7116 0.2884 0.2500
Hf 0.2150 0.8048 0.9703
Hf 0.8273 0.6321 0.0939
Hf 0.6321 0.8273 0.5939
Hg 0.5152 0.7011 0.3308
Hg 0.2989 0.4848 0.1692
Hf 0.0869 0.1831 0.6807
Hf 0.8048 0.2150 0.4703
Ga 0.5000 0.0000 0.0000
Hf 0.9131 0.8169 0.3193
Hf 0.1952 0.7850 0.5297
Hf 0.8169 0.9131 0.8193
Hf 0.3679 0.1727 0.4061
Hg 0.7011 0.5152 0.8308

***

Which of them is the least stable? Correct choice: entry w.